1.
# Cd3GeS, optimized geometry, DFT PBE
data_Cd3GeS
_space_group_name_H-M_alt 'P 1'
_space_group_IT_number 1
_cell_length_a 5.121
_cell_length_b 5.121
_cell_length_c 5.121
_cell_angle_alpha 90.00
_cell_angle_beta 90.00
_cell_angle_gamma 90.00
loop_
_space_group_symop_operation_xyz
'x,y,z'
loop_
_atom_site_label
_atom_site_type_symbol
_atom_site_fract_x
_atom_site_fract_y
_atom_site_fract_z
Ge1 Ge 0.500 0.500 0.500
S1 S 0.000 0.000 0.000
Cd1 Cd 0.000 0.500 0.000
Cd2 Cd 0.000 0.000 0.500
Cd3 Cd 0.500 0.000 0.000
# Space group: No. 221
# Formation energy (no corrections) in kJ/mol of atoms: 45.3
# Offset from the most stable computed form in meV per atom: 181
# Spin magnetization in μB/atom: 0.00

2.
# CdGeS3, optimized geometry, DFT PBE
data_CdGeS3
_space_group_name_H-M_alt 'P 1'
_space_group_IT_number 1
_cell_length_a 6.501
_cell_length_b 7.163
_cell_length_c 11.105
_cell_angle_alpha 90.00
_cell_angle_beta 80.06
_cell_angle_gamma 90.00
loop_
_space_group_symop_operation_xyz
'x,y,z'
loop_
_atom_site_label
_atom_site_type_symbol
_atom_site_fract_x
_atom_site_fract_y
_atom_site_fract_z
Cd1 Cd 0.948 0.609 0.278
Cd2 Cd 0.552 0.109 0.222
Cd3 Cd 0.052 0.391 0.722
Cd4 Cd 0.448 0.891 0.778
Ge1 Ge 0.505 0.603 0.124
Ge2 Ge 0.995 0.103 0.376
Ge3 Ge 0.495 0.397 0.876
Ge4 Ge 0.005 0.897 0.624
S1 S 0.262 0.695 0.635
S2 S 0.238 0.195 0.865
S3 S 0.738 0.305 0.365
S4 S 0.762 0.805 0.135
S5 S 0.817 0.967 0.800
S6 S 0.683 0.467 0.700
S7 S 0.183 0.033 0.200
S8 S 0.317 0.533 0.300
S9 S 0.817 0.846 0.471
S10 S 0.683 0.346 0.029
S11 S 0.183 0.154 0.529
S12 S 0.317 0.654 0.971
# Space group: No. 14
# Formation energy (no corrections) in kJ/mol of atoms: -37.7
# Offset from the most stable computed form in meV per atom: 0
# Spin magnetization in μB/atom: 0.00

3.
# CdGeS3, optimized geometry, DFT PBE
data_CdGeS3
_space_group_name_H-M_alt 'P 1'
_space_group_IT_number 1
_cell_length_a 3.678
_cell_length_b 6.732
_cell_length_c 10.624
_cell_angle_alpha 92.62
_cell_angle_beta 90.00
_cell_angle_gamma 105.85
loop_
_space_group_symop_operation_xyz
'x,y,z'
loop_
_atom_site_label
_atom_site_type_symbol
_atom_site_fract_x
_atom_site_fract_y
_atom_site_fract_z
Cd1 Cd 0.646 0.292 0.891
Cd2 Cd 0.354 0.708 0.109
Ge1 Ge 0.917 0.835 0.728
Ge2 Ge 0.083 0.165 0.272
S1 S 0.356 0.711 0.618
S2 S 0.644 0.289 0.382
S3 S 0.849 0.699 0.920
S4 S 0.151 0.301 0.080
S5 S 0.089 0.178 0.732
S6 S 0.911 0.822 0.268
# Space group: No. 12
# Formation energy (no corrections) in kJ/mol of atoms: -36.6
# Offset from the most stable computed form in meV per atom: 12
# Spin magnetization in μB/atom: 0.00

4.
# CdGeS3, optimized geometry, DFT PBE
data_CdGeS3
_space_group_name_H-M_alt 'P 1'
_space_group_IT_number 1
_cell_length_a 4.731
_cell_length_b 4.731
_cell_length_c 4.731
_cell_angle_alpha 90.00
_cell_angle_beta 90.00
_cell_angle_gamma 90.00
loop_
_space_group_symop_operation_xyz
'x,y,z'
loop_
_atom_site_label
_atom_site_type_symbol
_atom_site_fract_x
_atom_site_fract_y
_atom_site_fract_z
Ge1 Ge 0.000 0.000 0.000
S1 S 0.000 0.500 0.000
S2 S 0.000 0.000 0.500
S3 S 0.500 0.000 0.000
Cd1 Cd 0.500 0.500 0.500
# Space group: No. 221
# Formation energy (no corrections) in kJ/mol of atoms: 25.1
# Offset from the most stable computed form in meV per atom: 651
# Spin magnetization in μB/atom: 0.00

5.
# CdGe2S6, optimized geometry, DFT PBE
data_CdGe2S6
_space_group_name_H-M_alt 'P 1'
_space_group_IT_number 1
_cell_length_a 6.241
_cell_length_b 8.423
_cell_length_c 8.423
_cell_angle_alpha 80.27
_cell_angle_beta 78.15
_cell_angle_gamma 78.15
loop_
_space_group_symop_operation_xyz
'x,y,z'
loop_
_atom_site_label
_atom_site_type_symbol
_atom_site_fract_x
_atom_site_fract_y
_atom_site_fract_z
Cd1 Cd 0.250 0.135 0.865
Cd2 Cd 0.750 0.865 0.135
Ge1 Ge 0.286 0.618 0.788
Ge2 Ge 0.214 0.212 0.382
Ge3 Ge 0.714 0.382 0.212
Ge4 Ge 0.786 0.788 0.618
S1 S 0.502 0.704 0.553
S2 S 0.998 0.447 0.296
S3 S 0.498 0.296 0.447
S4 S 0.002 0.553 0.704
S5 S 0.920 0.919 0.371
S6 S 0.580 0.629 0.081
S7 S 0.080 0.081 0.629
S8 S 0.420 0.371 0.919
S9 S 0.204 0.793 0.972
S10 S 0.296 0.028 0.207
S11 S 0.796 0.207 0.028
S12 S 0.704 0.972 0.793
# Space group: No. 15
# Formation energy (no corrections) in kJ/mol of atoms: -7.6
# Spin magnetization in μB/atom: 0.00

6.
# Cd3GeS, optimized geometry, DFT PBE
data_Cd3GeS
_space_group_name_H-M_alt 'P 1'
_space_group_IT_number 1
_cell_length_a 5.093
_cell_length_b 5.093
_cell_length_c 5.093
_cell_angle_alpha 90.00
_cell_angle_beta 90.00
_cell_angle_gamma 90.00
loop_
_space_group_symop_operation_xyz
'x,y,z'
loop_
_atom_site_label
_atom_site_type_symbol
_atom_site_fract_x
_atom_site_fract_y
_atom_site_fract_z
Ge1 Ge 0.000 0.000 0.000
S1 S 0.500 0.500 0.500
Cd1 Cd 0.000 0.500 0.000
Cd2 Cd 0.000 0.000 0.500
Cd3 Cd 0.500 0.000 0.000
# Space group: No. 221
# Formation energy (no corrections) in kJ/mol of atoms: 27.7
# Offset from the most stable computed form in meV per atom: 0
# Spin magnetization in μB/atom: 0.00

7.
# Cd2GeS, optimized geometry, DFT PBE
data_Cd2GeS
_space_group_name_H-M_alt 'P 1'
_space_group_IT_number 1
_cell_length_a 6.474
_cell_length_b 6.474
_cell_length_c 6.962
_cell_angle_alpha 62.29
_cell_angle_beta 62.29
_cell_angle_gamma 90.00
loop_
_space_group_symop_operation_xyz
'x,y,z'
loop_
_atom_site_label
_atom_site_type_symbol
_atom_site_fract_x
_atom_site_fract_y
_atom_site_fract_z
Ge1 Ge 0.000 0.000 0.000
Ge2 Ge 0.750 0.250 0.500
S1 S 0.500 0.500 0.000
S2 S 0.250 0.750 0.500
Cd1 Cd 0.608 0.125 0.250
Cd2 Cd 0.142 0.625 0.250
Cd3 Cd 0.375 0.392 0.750
Cd4 Cd 0.875 0.858 0.750
# Space group: No. 122
# Formation energy (no corrections) in kJ/mol of atoms: 1.7
# Offset from the most stable computed form in meV per atom: 0
# Spin magnetization in μB/atom: 0.00

8.
# CdSiGeS2, optimized geometry, DFT PBE
data_CdSiGeS2
_space_group_name_H-M_alt 'P 1'
_space_group_IT_number 1
_cell_length_a 4.815
_cell_length_b 5.053
_cell_length_c 4.815
_cell_angle_alpha 90.00
_cell_angle_beta 90.00
_cell_angle_gamma 90.00
loop_
_space_group_symop_operation_xyz
'x,y,z'
loop_
_atom_site_label
_atom_site_type_symbol
_atom_site_fract_x
_atom_site_fract_y
_atom_site_fract_z
Ge1 Ge 0.000 0.000 0.000
Si1 Si 0.500 0.500 0.500
S1 S 0.000 0.000 0.500
S2 S 0.500 0.000 0.000
Cd1 Cd 0.000 0.500 0.000
# Space group: No. 123
# Formation energy (no corrections) in kJ/mol of atoms: 67.8
# Spin magnetization in μB/atom: 0.00

9.
# SrCd2GeS, optimized geometry, DFT PBE
data_SrCd2GeS
_space_group_name_H-M_alt 'P 1'
_space_group_IT_number 1
_cell_length_a 6.202
_cell_length_b 6.202
_cell_length_c 5.312
_cell_angle_alpha 90.00
_cell_angle_beta 90.00
_cell_angle_gamma 90.00
loop_
_space_group_symop_operation_xyz
'x,y,z'
loop_
_atom_site_label
_atom_site_type_symbol
_atom_site_fract_x
_atom_site_fract_y
_atom_site_fract_z
Sr1 Sr 0.000 0.000 0.000
Ge1 Ge 0.500 0.500 0.500
S1 S 0.000 0.000 0.500
Cd1 Cd 0.000 0.500 0.000
Cd2 Cd 0.500 0.000 0.000
# Space group: No. 123
# Formation energy (no corrections) in kJ/mol of atoms: 49.6
# Spin magnetization in μB/atom: 0.00

10.
# SrCdGe2S6, optimized geometry, DFT PBE
data_SrCdGe2S6
_space_group_name_H-M_alt 'P 1'
_space_group_IT_number 1
_cell_length_a 6.715
_cell_length_b 9.068
_cell_length_c 9.068
_cell_angle_alpha 89.86
_cell_angle_beta 77.70
_cell_angle_gamma 77.70
loop_
_space_group_symop_operation_xyz
'x,y,z'
loop_
_atom_site_label
_atom_site_type_symbol
_atom_site_fract_x
_atom_site_fract_y
_atom_site_fract_z
Sr1 Sr 0.250 0.885 0.115
Sr2 Sr 0.750 0.115 0.885
Cd1 Cd 0.250 0.272 0.728
Cd2 Cd 0.750 0.728 0.272
Ge1 Ge 0.275 0.778 0.629
Ge2 Ge 0.225 0.371 0.222
Ge3 Ge 0.725 0.222 0.371
Ge4 Ge 0.775 0.629 0.778
S1 S 0.195 0.966 0.800
S2 S 0.305 0.200 0.034
S3 S 0.805 0.034 0.200
S4 S 0.695 0.800 0.966
S5 S 0.400 0.863 0.405
S6 S 0.100 0.595 0.137
S7 S 0.600 0.137 0.595
S8 S 0.900 0.405 0.863
S9 S 0.998 0.693 0.575
S10 S 0.502 0.425 0.307
S11 S 0.002 0.307 0.425
S12 S 0.498 0.575 0.693
# Space group: No. 15
# Formation energy (no corrections) in kJ/mol of atoms: -66.7
# Spin magnetization in μB/atom: 0.00